# 1
The following is a DFT calculation (PBE) of a geometry-optimized SrHg3As structure.

Cell and atoms, written as extended XYZ:
```
5
Lattice="6.277 0.000 0.000 0.000 6.277 0.000 0.000 0.000 6.277" Properties=species:S:1:pos:R:3 pbc="T T T"
Sr 0.000 0.000 0.000
Hg 0.000 0.000 3.138
Hg 0.000 3.138 0.000
Hg 3.138 0.000 0.000
As 3.138 3.138 3.138
```

Output
The formation energy comes out at 278.6 kJ/mol of formula units. As for the space group: Pm-3m (221).

=====

# 2
The following is a DFT calculation (PBE) of a geometry-optimized Cs5SnBr8 structure.

Cell and atoms, written as extended XYZ:
```
14
Lattice="-5.328 5.328 5.736 5.328 -5.328 5.736 5.328 5.328 -5.736" Properties=species:S:1:pos:R:3 pbc="T T T"
Cs 0.000 0.000 0.000
Cs 2.408 3.892 -1.412
Cs 6.764 2.408 1.412
Cs 2.920 1.436 4.324
Cs -1.436 2.920 7.148
Sn 0.000 5.328 2.868
Br 5.878 2.590 -2.208
Br 3.366 1.009 0.724
Br 4.319 -1.962 5.011
Br -0.550 2.738 3.528
Br 1.009 7.290 -0.724
Br 2.590 4.778 2.208
Br 2.738 0.550 7.943
Br 1.962 4.319 6.460
```

Output
As for the space group: I-4 (82). The calculation puts the energy relative to the elements, uncorrected at -19.499 eV/f.u.

=====

# 3
The following is a DFT calculation (PBE) of a geometry-optimized CaZnSN2 structure.

Cell and atoms, written as extended XYZ:
```
5
Lattice="4.491 0.000 0.000 0.000 4.491 0.000 0.000 0.000 5.609" Properties=species:S:1:pos:R:3 pbc="T T T"
Ca 0.000 0.000 0.000
Zn 2.245 2.245 2.805
S 0.000 0.000 2.805
N 0.000 2.245 0.000
N 2.245 0.000 0.000
```

Output
As for the space group: P4/mmm (123). The calculation puts the energy relative to the elements, uncorrected at 6.554 eV/f.u.

=====

# 4
The following is a DFT calculation (PBE) of a geometry-optimized Th4Se4S structure.

Cell and atoms, written as extended XYZ:
```
9
Lattice="6.876 -2.067 0.000 6.876 2.067 0.000 -5.255 0.000 8.844" Properties=species:S:1:pos:R:3 pbc="T T T"
Th -0.836 0.000 3.607
Th 3.045 0.000 1.892
Th 5.451 0.000 6.952
Th 9.332 0.000 5.238
Se -3.316 0.000 7.985
Se 0.609 0.000 6.313
Se 7.887 0.000 2.531
Se 11.812 0.000 0.859
S 4.248 0.000 4.422
```

Output
As for the space group: C2/m (12). The calculation puts the energy relative to the elements, uncorrected at -15.307 eV/f.u.

=====

| no. | energy (eV per atom) | magnetic moment (Bohr magnetons per cell) |
| --- | --- | --- |
| 1 | -0.870 | 1.76 |
| 2 | -2.939 | 0.83 |
| 3 | -3.500 | 4.41 |
| 4 | -7.006 | 0.00 |